First-principles (PBE-GGA) data for a geometry-optimized Ag2Br4F structure, as listed in the Alexandria database.

Structure (CIF):
```
data_Ag2Br4F
_cell_length_a 8.168
_cell_length_b 8.171
_cell_length_c 8.623
_cell_angle_alpha 62.29
_cell_angle_beta 62.29
_cell_angle_gamma 89.00
_space_group_name_H-M_alt 'P 1'
_space_group_IT_number 1
_space_group_name_Hall 'P 1'
loop_
_atom_site_label
_atom_site_type_symbol
_atom_site_fract_x
_atom_site_fract_y
_atom_site_fract_z
Ag1 Ag 0.000 0.000 0.000
Ag2 Ag 0.004 0.420 0.991
Ag3 Ag 0.535 0.465 0.501
Ag4 Ag 0.955 0.469 0.490
Br1 Br 0.183 0.742 0.924
Br2 Br 0.278 0.649 0.424
Br3 Br 0.279 0.235 0.934
Br4 Br 0.289 0.326 0.407
Br5 Br 0.771 0.744 0.433
Br6 Br 0.777 0.252 0.436
Br7 Br 0.787 0.242 0.936
Br8 Br 0.860 0.754 0.907
F1 F 0.294 0.099 0.397
F2 F 0.633 0.759 0.898
```

Its uncorrected formation energy is -0.309 eV per atom. For the total energy, the calculation gives -2.3467 eV per atom. The value obtained for the total moment is 0.00 μB per atom.

***

First-principles (PBE-GGA) data for a geometry-optimized TaSn3Rh structure, as listed in the Alexandria database.

Structure (CIF):
```
data_TaSn3Rh
_cell_length_a 5.307
_cell_length_b 5.307
_cell_length_c 5.307
_cell_angle_alpha 90.00
_cell_angle_beta 90.00
_cell_angle_gamma 90.00
_space_group_name_H-M_alt 'P m -3 m'
_space_group_IT_number 221
_space_group_name_Hall '-P 4 2 3'
loop_
_atom_site_label
_atom_site_type_symbol
_atom_site_fract_x
_atom_site_fract_y
_atom_site_fract_z
Ta1 Ta 0.000 0.000 0.000
Sn1 Sn 0.000 0.000 0.500
Rh1 Rh 0.500 0.500 0.500
```

The calculation puts the energy relative to the lowest polymorph listed for this composition at 140 meV per atom. For the total energy, the calculation gives -5.2574 eV per atom. The value obtained for the formation enthalpy at 0 K is 0.9851 eV/atom. The value obtained for the total moment is 0.35 μB per atom.

***

First-principles (PBE-GGA) data for a geometry-optimized TaTiGaMo2 structure, as listed in the Alexandria database.

Structure (CIF):
```
data_TaTiGaMo2
_cell_length_a 4.501
_cell_length_b 4.501
_cell_length_c 4.675
_cell_angle_alpha 90.00
_cell_angle_beta 90.00
_cell_angle_gamma 90.00
_space_group_name_H-M_alt 'P 4/m m m'
_space_group_IT_number 123
_space_group_name_Hall '-P 4 2'
loop_
_atom_site_label
_atom_site_type_symbol
_atom_site_fract_x
_atom_site_fract_y
_atom_site_fract_z
Ta1 Ta 0.000 0.000 0.000
Ti1 Ti 0.500 0.500 0.500
Ga1 Ga 0.500 0.500 0.000
Mo1 Mo 0.000 0.500 0.500
```

For the total energy, the calculation gives -7.5843 eV per atom. The value obtained for the formation enthalpy at 0 K is 1.3030 eV/atom. The value obtained for the total moment is 0.00 μB per atom.